Material: Nd8TlPd2
Method: DFT, PBE
State: relaxed

Lattice parameters (Å, degrees): 8.327 8.327 5.680 98.54 98.54 115.24
Positions (direct):
Nd 0.083 0.328 0.573
Nd 0.243 0.757 0.000
Nd 0.328 0.083 0.573
Nd 0.394 0.394 0.191
Nd 0.606 0.606 0.809
Nd 0.672 0.917 0.427
Nd 0.757 0.243 0.000
Nd 0.917 0.672 0.427
Tl 0.000 0.000 0.000
Pd 0.302 0.698 0.500
Pd 0.698 0.302 0.500

Properties
The value obtained for the formation energy is -261 meV/atom.


Material: NdTlPd
Method: DFT, PBE
State: relaxed

Lattice parameters (Å, degrees): 5.629 5.629 5.629 139.85 139.85 58.09
Positions (direct):
Nd 0.000 0.000 0.000
Tl 0.686 0.686 0.000
Pd 0.348 0.348 0.000

Properties
The value obtained for the formation energy is -456 meV/atom.


Material: Nd5Tl2Pd
Method: DFT, PBE
State: relaxed

Lattice parameters (Å, degrees): 7.596 12.881 4.977 90.00 90.00 90.00
Positions (direct):
Nd 0.000 0.000 0.000
Nd 0.129 0.287 0.000
Nd 0.180 0.581 0.500
Nd 0.320 0.081 0.500
Nd 0.371 0.787 0.000
Nd 0.500 0.500 0.000
Nd 0.629 0.213 0.000
Nd 0.680 0.919 0.500
Nd 0.820 0.419 0.500
Nd 0.871 0.713 0.000
Tl 0.097 0.837 0.500
Tl 0.403 0.337 0.500
Tl 0.597 0.663 0.500
Tl 0.903 0.163 0.500
Pd 0.000 0.500 0.000
Pd 0.500 0.000 0.000

Properties
The value obtained for the formation energy is -389 meV/atom.


Please write out number 1 again, unchanged.
Material: Nd8TlPd2
Method: DFT, PBE
State: relaxed

Lattice parameters (Å, degrees): 8.327 8.327 5.680 98.54 98.54 115.24
Positions (direct):
Nd 0.083 0.328 0.573
Nd 0.243 0.757 0.000
Nd 0.328 0.083 0.573
Nd 0.394 0.394 0.191
Nd 0.606 0.606 0.809
Nd 0.672 0.917 0.427
Nd 0.757 0.243 0.000
Nd 0.917 0.672 0.427
Tl 0.000 0.000 0.000
Pd 0.302 0.698 0.500
Pd 0.698 0.302 0.500

Properties
The value obtained for the formation energy is -261 meV/atom.